Record 1
A plane-wave DFT calculation with PBE was carried out for Y2InCl7 after structural relaxation.

Lattice parameters (Å, degrees): 6.978 12.768 13.367 90.00 90.00 90.00
Fractional positions:
1 Cl 0.992 0.451 0.369
2 Cl 0.509 0.185 0.328
3 In 0.250 0.217 0.015
4 Cl 0.508 0.451 0.369
5 Cl 0.490 0.085 0.623
6 Cl 0.750 0.182 0.111
7 Cl 0.250 0.682 0.389
8 Cl 0.250 0.818 0.889
9 Cl 0.991 0.185 0.328
10 Y 0.750 0.335 0.254
11 Cl 0.009 0.685 0.172
12 Cl 0.009 0.815 0.672
13 Y 0.250 0.532 0.239
14 Cl 0.492 0.951 0.131
15 Cl 0.008 0.549 0.631
16 Y 0.250 0.665 0.746
17 Cl 0.491 0.815 0.672
18 Cl 0.008 0.951 0.131
19 Cl 0.990 0.585 0.877
20 Cl 0.508 0.049 0.869
21 Cl 0.992 0.049 0.869
22 Y 0.250 0.835 0.246
23 In 0.750 0.717 0.485
24 Y 0.750 0.468 0.761
25 Cl 0.509 0.315 0.828
26 In 0.250 0.283 0.515
27 Cl 0.750 0.318 0.611
28 Cl 0.490 0.415 0.123
29 Y 0.750 0.165 0.754
30 Cl 0.491 0.685 0.172
31 Cl 0.510 0.585 0.877
32 Y 0.250 0.968 0.739
33 Cl 0.010 0.085 0.623
34 Y 0.750 0.032 0.261
35 Cl 0.010 0.415 0.123
36 Cl 0.990 0.915 0.377
37 Cl 0.991 0.315 0.828
38 Cl 0.492 0.549 0.631
39 Cl 0.510 0.915 0.377
40 In 0.750 0.783 0.985

Values from the calculation:
- Electronic total energy: -4.86 eV per atom
- ΔE_f (raw): -19.97 eV/f.u.
- DOS(E_F): 0.00 states/eV/cell
- Total magnetic moment: 0.000 μB per atom


Record 2
A plane-wave DFT calculation with PBE was carried out for TbHoHgOs after structural relaxation.

Lattice parameters (Å, degrees): 5.014 5.014 5.014 60.00 60.00 60.00
Fractional positions:
1 Ho 0.500 0.500 0.500
2 Tb 0.000 0.000 0.000
3 Os 0.250 0.250 0.250
4 Hg 0.750 0.750 0.750

Values from the calculation:
- Electronic total energy: -5.45 eV per atom
- DOS(E_F): 3.32 states/eV/cell
- ΔE_f: -0.262 eV per atom
- Energy above the most stable polymorph in this dataset: 119 meV/atom
- Total magnetic moment: 0.000 μB per atom


Record 3
A plane-wave DFT calculation with PBE was carried out for PdNO after structural relaxation.

Lattice parameters (Å, degrees): 5.739 5.739 8.061 88.66 108.03 89.89
Fractional positions:
1 O 0.250 0.000 0.001
2 O 0.250 0.500 0.001
3 N 0.960 0.083 0.466
4 O 0.750 0.000 0.999
5 Pd 0.526 0.748 0.060
6 O 0.750 0.500 0.999
7 Pd 0.975 0.752 0.940
8 Pd 0.025 0.248 0.060
9 N 0.472 0.410 0.512
10 N 0.040 0.917 0.534
11 N 0.528 0.590 0.488
12 Pd 0.474 0.252 0.940

Values from the calculation:
- Electronic total energy: -6.14 eV per atom
- ΔE_f (raw): 0.05 eV/f.u.
- DOS(E_F): 6.97 states/eV/cell
- Energy above the most stable polymorph in this dataset: 0 meV/atom
- Total magnetic moment: 0.000 μB per atom


Record 4
A plane-wave DFT calculation with PBE was carried out for Cu5Ru after structural relaxation.

Lattice parameters (Å, degrees): 3.704 3.726 5.696 109.09 90.00 90.00
Fractional positions:
1 Cu 0.500 0.500 0.000
2 Cu 0.500 0.831 0.663
3 Ru 0.000 0.000 0.000
4 Cu 0.500 0.169 0.337
5 Cu 0.000 0.669 0.339
6 Cu 0.000 0.331 0.661

Values from the calculation:
- Electronic total energy: -4.78 eV per atom
- DOS(E_F): 5.91 states/eV/cell
- ΔE_f: 0.182 eV per atom
- Energy above the most stable polymorph in this dataset: 69 meV/atom
- Total magnetic moment: 0.000 μB per atom


Record 5
A plane-wave DFT calculation with PBE was carried out for MnSi5 after structural relaxation.

Lattice parameters (Å, degrees): 4.811 4.811 4.717 90.00 90.00 120.00
Each line ends with the local moment (μB).
Fractional positions:
1 Si 0.333 0.667 0.000  -0.04
2 Si 0.500 0.000 0.500  0.02
3 Si 0.667 0.333 0.000  -0.04
4 Si 0.500 0.500 0.500  0.02
5 Si 0.000 0.500 0.500  0.02
6 Mn 0.000 0.000 0.000  3.70

Values from the calculation:
- Electronic total energy: -5.48 eV per atom
- ΔE_f (raw): 3.40 eV/f.u.
- DOS(E_F): 2.00 states/eV/cell
- Energy above the most stable polymorph in this dataset: 414 meV/atom
- Total magnetic moment: 0.628 μB per atom


Record 6
A plane-wave DFT calculation with PBE was carried out for CsPm2Sm3Te6 after structural relaxation.

Lattice parameters (Å, degrees): 4.468 9.414 10.245 103.80 102.59 90.00
Fractional positions:
1 Sm 0.500 0.500 0.000
2 Sm 0.161 0.818 0.321
3 Te 0.664 0.584 0.329
4 Pm 0.172 0.348 0.344
5 Te 0.004 0.278 0.009
6 Te 0.321 0.912 0.642
7 Te 0.996 0.722 0.991
8 Sm 0.839 0.182 0.679
9 Te 0.336 0.416 0.671
10 Pm 0.828 0.652 0.656
11 Te 0.679 0.088 0.358
12 Cs 0.500 0.000 0.000

Values from the calculation:
- Electronic total energy: -4.93 eV per atom
- ΔE_f (raw): -15.82 eV/f.u.
- DOS(E_F): 4.02 states/eV/cell
- Total magnetic moment: 0.000 μB per atom


Record 7
A plane-wave DFT calculation with PBE was carried out for SrZr2Ge2 after structural relaxation.

Lattice parameters (Å, degrees): 4.497 4.497 6.943 71.10 71.10 90.00
Fractional positions:
1 Ge 0.616 0.616 0.768
2 Zr 0.250 0.750 0.500
3 Sr 0.000 0.000 0.000
4 Ge 0.384 0.384 0.232
5 Zr 0.750 0.250 0.500

Values from the calculation:
- Electronic total energy: -6.12 eV per atom
- DOS(E_F): 4.91 states/eV/cell
- ΔE_f: -0.519 eV per atom
- Energy above the most stable polymorph in this dataset: 0 meV/atom
- Total magnetic moment: 0.000 μB per atom


Record 8
A plane-wave DFT calculation with PBE was carried out for EuDyTlAu after structural relaxation.

Lattice parameters (Å, degrees): 5.334 5.334 5.334 60.00 60.00 60.00
Each line ends with the local moment (μB).
Fractional positions:
1 Dy 0.250 0.250 0.250  -0.03
2 Au 0.000 0.000 0.000  -0.01
3 Eu 0.750 0.750 0.750  6.78
4 Tl 0.500 0.500 0.500  -0.02

Values from the calculation:
- Electronic total energy: -5.67 eV per atom
- DOS(E_F): 10.16 states/eV/cell
- ΔE_f: -0.538 eV per atom
- Total magnetic moment: 1.714 μB per atom